Sr5CeNd3Cu4PbO18 | SCAN | PBEsol geometry

abc: 5.3903 5.3927 15.2751
angles: 100.17 90.00 90.00
Fractional positions:
Sr: 0.5000 0.0876 0.1751
Sr: 0.0000 0.5875 0.1751
Sr: 0.0000 0.4122 0.8244
Sr: 0.5000 0.9130 0.8259
Sr: 0.0000 0.9999 0.9998
Ce: 0.0000 0.2914 0.5828
Nd: 0.0000 0.7069 0.4138
Nd: 0.5000 0.2069 0.4138
Nd: 0.5000 0.7941 0.5881
Cu: 0.0000 0.1422 0.2845
Cu: 0.5000 0.6450 0.2900
Cu: 0.5000 0.3542 0.7084
Cu: 0.0000 0.8571 0.7142
Pb: 0.5000 0.4999 0.9997
O: 0.0000 0.0766 0.1533
O: 0.5000 0.5712 0.1425
O: 0.5000 0.4283 0.8567
O: 0.0000 0.9231 0.8461
O: 0.2522 0.8985 0.3014
O: 0.7478 0.4028 0.3014
O: 0.2522 0.4028 0.3014
O: 0.7478 0.8985 0.3014
O: 0.2491 0.5935 0.6972
O: 0.7509 0.1038 0.6972
O: 0.2491 0.1038 0.6972
O: 0.7509 0.5935 0.6972
O: 0.2446 0.0069 0.5031
O: 0.7554 0.4962 0.5031
O: 0.2446 0.4962 0.5031
O: 0.7554 0.0069 0.5031
O: 0.0000 0.4999 0.9997
O: 0.5000 0.9996 0.9993

## Properties
Uncorrected energy = -615.06 eV/f.u.
Size of the total moment = 1.187 Bohr magnetons per cell